Material: LuScHgOs
Method: DFT, PBE
State: optimized geometry

The formation energy is -0.33 eV/atom.

It has space group F-43m (No. 216), with a = 6.828 Å, b = 6.828 Å, c = 6.828 Å, α = 90.00°, β = 90.00° and γ = 90.00°. The distinct sites, in fractional coordinates, are Lu at (0.000, 0.000, 0.000), Sc at (0.000, 0.000, 0.500), Hg at (0.250, 0.250, 0.750) and Os at (0.250, 0.250, 0.250).

Material: SmLuHgOs
Method: DFT, PBE
State: optimized geometry

The formation energy is -0.23 eV/atom.

It has space group F-43m (No. 216), with a = 7.100 Å, b = 7.100 Å, c = 7.100 Å, α = 90.00°, β = 90.00° and γ = 90.00°. The distinct sites, in fractional coordinates, are Sm at (0.000, 0.000, 0.000), Lu at (0.000, 0.000, 0.500), Hg at (0.250, 0.250, 0.750) and Os at (0.250, 0.250, 0.250).

Material: LuThHgOs
Method: DFT, PBE
State: optimized geometry

The formation energy is -0.22 eV/atom.

It has space group F-43m (No. 216), with a = 7.201 Å, b = 7.201 Å, c = 7.201 Å, α = 90.00°, β = 90.00° and γ = 90.00°. The distinct sites, in fractional coordinates, are Lu at (0.000, 0.000, 0.000), Th at (0.000, 0.000, 0.500), Hg at (0.250, 0.250, 0.250) and Os at (0.250, 0.250, 0.750).

Material: TmLuHgOs
Method: DFT, PBE
State: optimized geometry

The formation energy is -0.32 eV/atom.

It has space group F-43m (No. 216), with a = 6.973 Å, b = 6.973 Å, c = 6.973 Å, α = 90.00°, β = 90.00° and γ = 90.00°. The distinct sites, in fractional coordinates, are Tm at (0.000, 0.000, 0.000), Lu at (0.000, 0.000, 0.500), Hg at (0.250, 0.250, 0.750) and Os at (0.250, 0.250, 0.250).

Number 1: DOS(E_F) 2.7 states/eV/f.u.. Number 2: DOS(E_F) 3.3 states/eV/f.u.. Number 3: DOS(E_F) 3.6 states/eV/f.u.. Number 4: DOS(E_F) 3.0 states/eV/f.u..